(1)
A relaxed structure of Ti6VGa3. Source: Alexandria via LeMat-Bulk, functional PBE-GGA.

```
data_Ti6VGa3
_chemical_formula_sum 'Ti24 V4 Ga12'
_space_group_name_H-M_alt 'F m -3 m'
_space_group_IT_number 225
_space_group_name_Hall '-F 4 2 3'
_cell_length_a 9.2447
_cell_length_b 9.2447
_cell_length_c 9.2447
_cell_angle_alpha 90.00
_cell_angle_beta 90.00
_cell_angle_gamma 90.00
loop_
_atom_site_label
_atom_site_fract_x
_atom_site_fract_y
_atom_site_fract_z
Ti1 0.0000 0.0000 0.2420
V1 0.0000 0.0000 0.0000
Ga1 0.0000 0.0000 0.5000
Ga2 0.2500 0.2500 0.2500
```

- energy relative to the lowest polymorph listed for this composition (eV per atom) = 0.840

(2)
A relaxed structure of Pm6Ni2Ag. Source: Alexandria via LeMat-Bulk, functional PBE-GGA.

```
data_Pm6Ni2Ag
_chemical_formula_sum 'Pm24 Ni8 Ag4'
_space_group_name_H-M_alt 'I m m m'
_space_group_IT_number 71
_space_group_name_Hall '-I 2 2'
_cell_length_a 9.4399
_cell_length_b 9.9817
_cell_length_c 10.2571
_cell_angle_alpha 90.00
_cell_angle_beta 90.00
_cell_angle_gamma 90.00
loop_
_atom_site_label
_atom_site_fract_x
_atom_site_fract_y
_atom_site_fract_z
Pm1 0.0000 0.1974 0.2275
Pm2 0.1935 0.5000 0.1750
Pm3 0.2078 0.3206 0.5000
Ni1 0.0000 0.3564 0.0000
Ni2 0.0000 0.5000 0.3773
Ag1 0.0000 0.0000 0.0000
Ag2 0.0000 0.0000 0.5000
```

- raw total energy (eV per atom) = -4.99

(3)
A relaxed structure of CsPdPt3. Source: Alexandria via LeMat-Bulk, functional PBE-GGA.

```
data_CsPdPt3
_chemical_formula_sum 'Cs1 Pd1 Pt3'
_space_group_name_H-M_alt 'P m -3 m'
_space_group_IT_number 221
_space_group_name_Hall '-P 4 2 3'
_cell_length_a 5.0289
_cell_length_b 5.0289
_cell_length_c 5.0289
_cell_angle_alpha 90.00
_cell_angle_beta 90.00
_cell_angle_gamma 90.00
loop_
_atom_site_label
_atom_site_fract_x
_atom_site_fract_y
_atom_site_fract_z
Cs1 0.0000 0.0000 0.0000
Pd1 0.5000 0.5000 0.5000
Pt1 0.0000 0.5000 0.5000
```

- energy relative to the lowest polymorph listed for this composition (eV per atom) = 0.000

(4)
A relaxed structure of CaYBr2. Source: Alexandria via LeMat-Bulk, functional PBE-GGA.

```
data_CaYBr2
_chemical_formula_sum 'Ca1 Y1 Br2'
_space_group_name_H-M_alt 'P 1 2/m 1'
_space_group_IT_number 10
_space_group_name_Hall '-P 2y'
_cell_length_a 3.8713
_cell_length_b 4.8030
_cell_length_c 6.5518
_cell_angle_alpha 90.00
_cell_angle_beta 93.13
_cell_angle_gamma 90.00
loop_
_atom_site_label
_atom_site_fract_x
_atom_site_fract_y
_atom_site_fract_z
Ca1 0.0000 0.0000 0.0000
Y1 0.5000 0.0000 0.5000
Br1 0.2914 0.5000 0.2524
```

- energy relative to the lowest polymorph listed for this composition (eV per atom) = 0.232
- E_form (uncorrected) (eV per formula unit) = -4.08

(5)
A relaxed structure of K2SrRu. Source: Alexandria via LeMat-Bulk, functional PBE-GGA.

```
data_K2SrRu
_chemical_formula_sum 'K2 Sr1 Ru1'
_space_group_name_H-M_alt 'P 1 2/m 1'
_space_group_IT_number 10
_space_group_name_Hall '-P 2y'
_cell_length_a 3.9876
_cell_length_b 6.4289
_cell_length_c 5.5292
_cell_angle_alpha 90.00
_cell_angle_beta 96.57
_cell_angle_gamma 90.00
loop_
_atom_site_label
_atom_site_fract_x
_atom_site_fract_y
_atom_site_fract_z
K1 0.2173 0.0000 0.2789
Sr1 0.5000 0.5000 0.0000
Ru1 0.0000 0.5000 0.5000
```

- energy relative to the lowest polymorph listed for this composition (eV per atom) = 0.285

(6)
A relaxed structure of In3SnHg2. Source: Alexandria via LeMat-Bulk, functional PBE-GGA.

```
data_In3SnHg2
_chemical_formula_sum 'In3 Sn1 Hg2'
_space_group_name_H-M_alt 'P 4/m m m'
_space_group_IT_number 123
_space_group_name_Hall '-P 4 2'
_cell_length_a 3.6802
_cell_length_b 3.6802
_cell_length_c 11.9063
_cell_angle_alpha 90.00
_cell_angle_beta 90.00
_cell_angle_gamma 90.00
loop_
_atom_site_label
_atom_site_fract_x
_atom_site_fract_y
_atom_site_fract_z
In1 0.0000 0.0000 0.0000
In2 0.0000 0.0000 0.3257
Sn1 0.5000 0.5000 0.5000
Hg1 0.5000 0.5000 0.1632
```

- energy relative to the lowest polymorph listed for this composition (eV per atom) = 0.000

(7)
A relaxed structure of NaSrSi4. Source: Alexandria via LeMat-Bulk, functional PBE-GGA.

```
data_NaSrSi4
_chemical_formula_sum 'Na1 Sr1 Si4'
_space_group_name_H-M_alt 'P m m m'
_space_group_IT_number 47
_space_group_name_Hall '-P 2 2'
_cell_length_a 4.0074
_cell_length_b 4.7136
_cell_length_c 7.1197
_cell_angle_alpha 90.00
_cell_angle_beta 90.00
_cell_angle_gamma 90.00
loop_
_atom_site_label
_atom_site_fract_x
_atom_site_fract_y
_atom_site_fract_z
Na1 0.0000 0.0000 0.0000
Sr1 0.5000 0.0000 0.5000
Si1 0.0000 0.5000 0.3353
Si2 0.5000 0.5000 0.1649
```

- energy relative to the lowest polymorph listed for this composition (eV per atom) = 0.000
- E_form (uncorrected) (eV per formula unit) = -0.49

(8)
A relaxed structure of SrYV2P. Source: Alexandria via LeMat-Bulk, functional PBE-GGA.

```
data_SrYV2P
_chemical_formula_sum 'Sr1 Y1 V2 P1'
_space_group_name_H-M_alt 'P 4/m m m'
_space_group_IT_number 123
_space_group_name_Hall '-P 4 2'
_cell_length_a 5.2377
_cell_length_b 5.2377
_cell_length_c 5.2820
_cell_angle_alpha 90.00
_cell_angle_beta 90.00
_cell_angle_gamma 90.00
loop_
_atom_site_label
_atom_site_fract_x
_atom_site_fract_y
_atom_site_fract_z
Sr1 0.0000 0.0000 0.0000
Y1 0.5000 0.5000 0.5000
V1 0.0000 0.5000 0.5000
P1 0.5000 0.5000 0.0000
```

- raw total energy (eV per atom) = -5.37